[1]
First-principles (GGA-PBE) data for a relaxed MgReAsPb crystal, as listed in the Open Quantum Materials Database.

E_tot ... -20.172 eV/f.u.
Space group ... F-43m
Excess energy over the best structure of this formula in the dataset ... 0.0000 eV/atom

Unit cell a=4.7228 b=4.7228 c=4.7228 alpha=60.00 beta=60.00 gamma=60.00
Last column: nearest neighbours and their distance in Å.
Sites, in units of the cell vectors:
Re: 0.2500 0.2500 0.2500  4 Pb 2.89, 4 As 2.89
Mg: 0.7500 0.7500 0.7500  4 As 2.89, 4 Pb 2.89
As: 0.0000 0.0000 0.0000  4 Re 2.89, 4 Mg 2.89
Pb: 0.5000 0.5000 0.5000  4 Mg 2.89, 4 Re 2.89

[2]
First-principles (GGA-PBE) data for a relaxed Ta2ZnW crystal, as listed in the Open Quantum Materials Database.

E_tot ... -36.937 eV/f.u.
Energy relative to the elements ... 5.721 kcal/mol of atoms
Space group ... F-43m

Unit cell a=4.5543 b=4.5543 c=4.5543 alpha=60.00 beta=60.00 gamma=60.00
Last column: nearest neighbours and their distance in Å.
Sites, in units of the cell vectors:
Zn: 0.5000 0.5000 0.5000  4 Ta 2.79, 4 W 2.79
Ta: 0.7500 0.7500 0.7500  4 Zn 2.79, 4 Ta 2.79
Ta: 0.0000 0.0000 0.0000  4 W 2.79, 4 Ta 2.79
W: 0.2500 0.2500 0.2500  4 Ta 2.79, 4 Zn 2.79

[3]
First-principles (GGA-PBE) data for a relaxed NdSi2Sn2 crystal, as listed in the Open Quantum Materials Database.

E_tot ... -23.563 eV/f.u.
Space group ... P4/nmm

Unit cell a=5.1801 b=5.1801 c=8.9953 alpha=90.00 beta=90.00 gamma=90.00
Last column: nearest neighbours and their distance in Å.
Sites, in units of the cell vectors:
Sn: 0.0000 0.5000 0.8897  5 Si 2.66-2.77
Sn: 0.0000 0.0000 0.5000  4 Si 2.72
Sn: 0.5000 0.5000 0.5000  4 Si 2.72
Sn: 0.5000 0.0000 0.1103  5 Si 2.66-2.77
Si: 0.5000 0.5000 0.0000  4 Sn 2.77
Si: 0.5000 0.0000 0.4060  5 Sn 2.66-2.72
Si: 0.0000 0.5000 0.5940  5 Sn 2.66-2.72
Si: 0.0000 0.0000 0.0000  4 Sn 2.77
Nd: 0.0000 0.5000 0.2449  5 Si 3.14-3.40, 5 Sn 3.20-3.46
Nd: 0.5000 0.0000 0.7551  5 Si 3.14-3.40, 5 Sn 3.20-3.46

[4]
First-principles (GGA-PBE) data for a relaxed HfMgBi2Pd2 crystal, as listed in the Open Quantum Materials Database.

E_tot ... -33.022 eV/f.u.
Space group ... I-42d

Unit cell a=6.4795 b=6.4795 c=7.9642 alpha=66.00 beta=66.00 gamma=90.00
Last column: nearest neighbours and their distance in Å.
Sites, in units of the cell vectors:
Bi: 0.2455 0.2455 0.5091  4 Pd 2.80-2.83
Bi: 0.0046 0.5046 0.9909  4 Pd 2.80-2.83
Bi: 0.4954 0.9955 0.0091  4 Pd 2.80-2.83
Bi: 0.7546 0.7546 0.4909  4 Pd 2.80-2.83
Hf: 0.5000 0.5000 0.0000  4 Pd 2.76
Hf: 0.7500 0.2500 0.5000  4 Pd 2.76
Mg: 0.2500 0.7500 0.5000  4 Pd 2.86, 2 Bi 3.20
Mg: 0.0000 0.0000 0.0000  4 Pd 2.86, 2 Bi 3.20
Pd: 0.8614 0.3750 0.7500  2 Hf 2.76, 4 Bi 2.80-2.83, 2 Mg 2.86
Pd: 0.3886 0.8750 0.7500  2 Hf 2.76, 4 Bi 2.80-2.83, 2 Mg 2.86
Pd: 0.1250 0.1386 0.2500  2 Hf 2.76, 4 Bi 2.80-2.83, 2 Mg 2.86
Pd: 0.6250 0.6114 0.2500  2 Hf 2.76, 4 Bi 2.80-2.83, 2 Mg 2.86

[5]
First-principles (GGA-PBE) data for a relaxed ErSbPO crystal, as listed in the Open Quantum Materials Database.

E_tot ... -24.086 eV/f.u.
Space group ... Pmc2_1
Excess energy over the best structure of this formula in the dataset ... 0.0429 eV/atom

Unit cell a=5.2303 b=6.3257 c=6.2628 alpha=90.00 beta=90.00 gamma=90.00
Last column: nearest neighbours and their distance in Å.
Sites, in units of the cell vectors:
Er: 0.0000 0.3207 0.9799  2 O 2.03
Er: 0.0000 0.6793 0.4799  2 O 2.03
Sb: 0.5000 0.2251 0.5438  2 P 2.49-2.53
Sb: 0.5000 0.7749 0.0438  2 P 2.49-2.53
O: 0.0000 0.5797 0.7879  2 Er 2.03
O: 0.0000 0.4203 0.2879  2 Er 2.03
P: 0.5000 0.1554 0.9423  2 Sb 2.49-2.53
P: 0.5000 0.8446 0.4423  2 Sb 2.49-2.53

[6]
First-principles (GGA-PBE) data for a relaxed Zr7N4O8 crystal, as listed in the Open Quantum Materials Database.

E_tot ... -183.105 eV/f.u.
Space group ... P1

Unit cell a=9.5973 b=9.5634 c=8.9096 alpha=89.68 beta=90.36 gamma=120.36
Last column: nearest neighbours and their distance in Å.
Sites, in units of the cell vectors:
Zr: 0.7853 0.0341 0.3447  2 N 2.10-2.13, 3 O 2.12-2.24
Zr: 0.4009 0.1230 0.9808  5 O 2.10-2.24, 1 N 2.25
Zr: 0.9423 0.7356 0.3499  3 N 2.11-2.35, 4 O 2.16-2.35
Zr: 0.2155 0.9475 0.6511  2 N 2.11-2.21, 4 O 2.15-2.33
Zr: 0.7342 0.7896 0.6475  5 O 2.10-2.24, 1 N 2.25
Zr: 0.3778 0.9236 0.3221  4 O 2.08-2.23, 1 N 2.09
Zr: 0.0445 0.2570 0.6554  4 O 2.08-2.23, 1 N 2.09
Zr: 0.6700 0.3442 0.3390  3 N 2.09-2.12, 3 O 2.16-2.22
Zr: 0.7112 0.5904 0.9888  4 O 2.08-2.23, 1 N 2.09
Zr: 0.1186 0.7009 0.0114  2 N 2.10-2.13, 3 O 2.12-2.24
Zr: 0.9203 0.5490 0.6825  2 N 2.11-2.12, 4 O 2.13-2.31
Zr: 0.8822 0.2809 0.9845  2 N 2.11-2.21, 4 O 2.15-2.33
Zr: 0.5488 0.6142 0.3178  2 N 2.11-2.21, 4 O 2.15-2.33
Zr: 0.6090 0.0689 0.6832  3 N 2.11-2.35, 4 O 2.16-2.35
Zr: 0.4520 0.3675 0.6780  2 N 2.10-2.13, 3 O 2.12-2.24
Zr: 0.0675 0.4563 0.3141  5 O 2.10-2.24, 1 N 2.25
Zr: 0.2536 0.2157 0.3492  2 N 2.11-2.12, 4 O 2.13-2.31
Zr: 0.3367 0.6776 0.6724  3 N 2.09-2.12, 3 O 2.16-2.22
Zr: 0.5869 0.8824 0.0159  2 N 2.11-2.12, 4 O 2.13-2.31
Zr: 0.0034 0.0109 0.0057  3 N 2.09-2.12, 3 O 2.16-2.22
Zr: 0.2757 0.4023 0.0165  3 N 2.11-2.35, 4 O 2.16-2.35
O: 0.6455 0.1228 0.4456  3 Zr 2.12-2.22
O: 0.5153 0.6358 0.0614  4 Zr 2.13-2.33
O: 0.1599 0.7052 0.2779  3 Zr 2.10-2.34
O: 0.8406 0.3030 0.2177  3 Zr 2.10-2.16
O: 0.5072 0.6364 0.5511  3 Zr 2.10-2.16
O: 0.1353 0.4819 0.5518  3 Zr 2.08-2.19
O: 0.2961 0.4557 0.2750  4 Zr 2.15-2.35
O: 0.9788 0.7895 0.1123  3 Zr 2.12-2.22
O: 0.8710 0.5108 0.9378  4 Zr 2.08-2.31
O: 0.3121 0.4562 0.7789  3 Zr 2.12-2.22
O: 0.3619 0.8812 0.0542  3 Zr 2.12-2.24
O: 0.5377 0.8441 0.2711  4 Zr 2.08-2.31
O: 0.2043 0.1774 0.6044  4 Zr 2.08-2.31
O: 0.8266 0.0386 0.6113  3 Zr 2.10-2.34
O: 0.8487 0.3025 0.7282  4 Zr 2.13-2.33
O: 0.4687 0.1485 0.2185  3 Zr 2.08-2.19
O: 0.6952 0.5478 0.7208  3 Zr 2.12-2.24
O: 0.6295 0.1223 0.9416  4 Zr 2.15-2.35
O: 0.1740 0.9697 0.8846  3 Zr 2.10-2.16
O: 0.8021 0.8152 0.8851  3 Zr 2.08-2.19
O: 0.4933 0.3719 0.9446  3 Zr 2.10-2.34
O: 0.0285 0.2145 0.3876  3 Zr 2.12-2.24
O: 0.9628 0.7889 0.6083  4 Zr 2.15-2.35
O: 0.1821 0.9692 0.3949  4 Zr 2.13-2.33
N: 0.8889 0.5115 0.4473  4 Zr 2.12-2.36
N: 0.0416 0.2163 0.8866  3 Zr 2.09-2.11
N: 0.2223 0.1783 0.1140  4 Zr 2.12-2.36
N: 0.8179 0.0344 0.1089  3 Zr 2.11-2.13
N: 0.3748 0.8829 0.5532  3 Zr 2.09-2.11
N: 0.1137 0.4842 0.0652  4 Zr 2.10-2.25
N: 0.7081 0.5496 0.2199  3 Zr 2.09-2.11
N: 0.7803 0.8175 0.3986  4 Zr 2.10-2.25
N: 0.4845 0.3677 0.4423  3 Zr 2.11-2.13
N: 0.4470 0.1509 0.7319  4 Zr 2.10-2.25
N: 0.1512 0.7010 0.7756  3 Zr 2.11-2.13
N: 0.5556 0.8449 0.7807  4 Zr 2.12-2.36

[7]
First-principles (GGA-PBE) data for a relaxed AsOsAu crystal, as listed in the Open Quantum Materials Database.

E_tot ... -17.247 eV/f.u.
Space group ... F-43m
Excess energy over the best structure of this formula in the dataset ... 0.0000 eV/atom

Unit cell a=4.2041 b=4.2041 c=4.2041 alpha=60.00 beta=60.00 gamma=60.00
Last column: nearest neighbours and their distance in Å.
Sites, in units of the cell vectors:
Au: 0.2500 0.2500 0.2500  4 As 2.57
As: 0.0000 0.0000 0.0000  4 Au 2.57, 4 Os 2.57
Os: 0.7500 0.7500 0.7500  4 As 2.57

[8]
First-principles (GGA-PBE) data for a relaxed Cs4Pa4O11 crystal, as listed in the Open Quantum Materials Database.

E_tot ... -142.553 eV/f.u.
Space group ... Cmmm

Unit cell a=6.3797 b=6.3794 c=8.9438 alpha=90.00 beta=90.00 gamma=89.22
Last column: nearest neighbours and their distance in Å.
Sites, in units of the cell vectors:
Pa: 0.0139 0.5138 0.0000  5 O 2.14-2.28
Pa: 0.4862 0.9861 0.0000  5 O 2.14-2.28
Pa: 0.9994 0.4994 0.5000  6 O 2.20-2.28
Pa: 0.5006 0.0006 0.5000  6 O 2.20-2.28
O: 0.9925 0.4922 0.2541  2 Pa 2.20-2.28
O: 0.2504 0.7496 0.9998  2 Pa 2.14
O: 0.9921 0.4924 0.7459  2 Pa 2.20-2.28
O: 0.2503 0.7497 0.5001  2 Pa 2.28
O: 0.5074 0.0076 0.2541  2 Pa 2.20-2.28
O: 0.2497 0.2497 0.9999  2 Pa 2.24
O: 0.2498 0.2498 0.5001  2 Pa 2.24
O: 0.7502 0.7502 0.4999  2 Pa 2.24
O: 0.7503 0.7503 0.0001  2 Pa 2.24
O: 0.5080 0.0078 0.7459  2 Pa 2.20-2.28
O: 0.7498 0.2502 0.4999  2 Pa 2.27
Cs: 0.5021 0.4979 0.2547  11 O 3.12-3.25
Cs: 0.9980 0.0019 0.2547  11 O 3.12-3.25
Cs: 0.9980 0.0020 0.7453  11 O 3.12-3.25
Cs: 0.5021 0.4980 0.7453  11 O 3.12-3.25

[9]
First-principles (GGA-PBE) data for a relaxed LuInHgO3 crystal, as listed in the Open Quantum Materials Database.

E_tot ... -34.056 eV/f.u.
Space group ... Cmcm

Unit cell a=3.3820 b=8.2137 c=7.2575 alpha=90.00 beta=103.47 gamma=90.00
Last column: nearest neighbours and their distance in Å.
Sites, in units of the cell vectors:
O: 0.6009 0.2315 0.2017  2 Lu 2.22, 1 In 2.30, 1 Hg 2.30
O: 0.3991 0.2685 0.7983  2 Lu 2.22, 1 In 2.30, 1 Hg 2.30
O: 0.3991 0.7315 0.7983  2 Lu 2.22, 1 In 2.30, 1 Hg 2.30
O: 0.9515 0.0000 0.9029  2 Lu 2.16, 2 In 2.19
O: 0.0485 0.5000 0.0971  2 Lu 2.16, 2 In 2.19
O: 0.6009 0.7685 0.2017  2 Lu 2.22, 1 In 2.30, 1 Hg 2.30
In: 0.3534 0.0000 0.7067  4 O 2.19-2.30
In: 0.6466 0.5000 0.2933  4 O 2.19-2.30
Lu: 0.0000 0.7500 0.0000  6 O 2.16-2.22
Lu: 0.0000 0.2500 0.0000  6 O 2.16-2.22
Hg: 0.3071 0.5000 0.6143  2 O 2.30
Hg: 0.6929 0.0000 0.3857  2 O 2.30

[10]
First-principles (GGA-PBE) data for a relaxed SrPb2Au2 crystal, as listed in the Open Quantum Materials Database.

E_tot ... -17.670 eV/f.u.
Space group ... I4/mmm

Unit cell a=4.7115 b=4.7115 c=7.1752 alpha=109.17 beta=109.17 gamma=90.00
Last column: nearest neighbours and their distance in Å.
Sites, in units of the cell vectors:
Au: 0.6052 0.6052 0.2104  1 Au 2.67, 4 Pb 2.99
Au: 0.3948 0.3948 0.7896  1 Au 2.67, 4 Pb 2.99
Pb: 0.7500 0.2500 0.5000  4 Au 2.99, 4 Pb 3.33
Pb: 0.2500 0.7500 0.5000  4 Au 2.99, 4 Pb 3.33
Sr: 0.0000 0.0000 0.0000  8 Au 3.59, 8 Pb 3.96